VASP calculation (PBE) on an optimized crystal structure of Ho12CoHg6.

Computed properties:
**Density**: 10.05 g/cm³
**Energy of formation**: -0.2314 eV/atom

```
data_Ho12CoHg6
_space_group_name_H-M_alt 'R -3'
_space_group_IT_number 148
_space_group_name_Hall '-R 3'
_cell_length_a 11.9145
_cell_length_b 11.9145
_cell_length_c 13.0699
_cell_angle_alpha 90.00
_cell_angle_beta 90.00
_cell_angle_gamma 120.00
loop_
_atom_site_label
_atom_site_fract_x
_atom_site_fract_y
_atom_site_fract_z
Ho1 0.0333 0.1864 0.3888
Ho2 0.0337 0.8470 0.8805
Co1 0.0000 0.0000 0.0000
Hg1 0.0065 0.3948 0.2546
```

=====

VASP calculation (PBE) on an optimized crystal structure of AcCeNd2S4.

Computed properties:
**Density**: 6.56 g/cm³
**Uncorrected formation energy**: -2.012 eV per atom

```
data_AcCeNd2S4
_space_group_name_H-M_alt 'P 1 2/m 1'
_space_group_IT_number 10
_cell_length_a 7.145
_cell_length_b 4.107
_cell_length_c 7.165
_cell_angle_alpha 90.00
_cell_angle_beta 109.32
_cell_angle_gamma 90.00
loop_
_space_group_symop_operation_xyz
'x,y,z'
'-x,-y,-z'
'-x,y,-z'
'x,-y,z'
loop_
_atom_site_label
_atom_site_fract_x
_atom_site_fract_y
_atom_site_fract_z
Ac1 0.000 0.000 0.000
Ce1 0.000 0.500 0.500
Nd1 0.500 0.000 0.500
Nd2 0.500 0.500 0.000
S1 0.253 0.000 0.743
S2 0.259 0.500 0.261
```

=====

VASP calculation (PBE) on an optimized crystal structure of LaMo2Os.

Computed properties:
**Density**: 11.37 g/cm³
**Energy of formation**: 0.5303 eV/atom

```
data_LaMo2Os
_space_group_name_H-M_alt 'I m m m'
_space_group_IT_number 71
_space_group_name_Hall '-I 2 2'
_cell_length_a 3.074
_cell_length_b 5.062
_cell_length_c 9.784
_cell_angle_alpha 90.00
_cell_angle_beta 90.00
_cell_angle_gamma 90.00
loop_
_atom_site_label
_atom_site_fract_x
_atom_site_fract_y
_atom_site_fract_z
La1 0.000 0.000 0.000
Mo1 0.000 0.500 0.224
Os1 0.000 0.000 0.500
```

=====

VASP calculation (PBE) on an optimized crystal structure of ScP2IO.

Computed properties:
**Density**: 3.83 g/cm³
**Uncorrected formation energy**: -0.227 eV per atom

```
data_ScP2IO
_space_group_name_H-M_alt 'P 4/m m m'
_space_group_IT_number 123
_space_group_name_Hall '-P 4 2'
_cell_length_a 5.269
_cell_length_b 5.269
_cell_length_c 3.902
_cell_angle_alpha 90.00
_cell_angle_beta 90.00
_cell_angle_gamma 90.00
loop_
_atom_site_label
_atom_site_fract_x
_atom_site_fract_y
_atom_site_fract_z
Sc1 0.000 0.000 0.000
P1 0.000 0.500 0.000
I1 0.500 0.500 0.500
O1 0.000 0.000 0.500
```